1.
This record from Alexandria describes a relaxed structure of AgSbRhI2. The functional is GGA-PBE.

The structure belongs to space group P4/mmm (No. 123); the cell edges are 5.626, 5.626 and 4.951 Å and the angles 90.00°, 90.00° and 90.00°. The asymmetric unit holds Ag at (0.000, 0.000, 0.000), Sb at (0.500, 0.500, 0.000), Rh at (0.500, 0.500, 0.500) and I at (0.000, 0.500, 0.500).

As for the uncorrected formation energy: 0.336 eV per atom. Its raw total energy is -3.15 eV/atom.

***

2.
This record from Alexandria describes a relaxed structure of CsBa2Te2O6. The functional is GGA-PBE.

The structure belongs to space group P-1 (No. 2); the cell edges are 6.578, 6.660 and 7.394 Å and the angles 87.76°, 87.45° and 60.57°. The asymmetric unit holds Cs at (0.000, 0.000, 0.000), Ba at (0.336, 0.332, 0.614), Te at (0.335, 0.353, 0.145), O at (0.094, 0.577, 0.299), O at (0.360, 0.077, 0.253) and O at (0.422, 0.657, 0.709).

As for the uncorrected formation energy: -1.711 eV per atom. Its raw total energy is -5.41 eV/atom.

***

3.
This record from Alexandria describes a relaxed structure of NaHgBr2. The functional is GGA-PBE.

The structure belongs to space group R-3m (No. 166, hexagonal axes); the cell edges are 4.3844, 4.3844 and 26.2124 Å and the angles 90.00°, 90.00° and 120.00°. The asymmetric unit holds Na at (0.0000, 0.0000, 0.0000), Hg at (0.0000, 0.0000, 0.5000) and Br at (0.0000, 0.0000, 0.3936).

As for the uncorrected formation energy: -0.741 eV per atom. Its raw total energy is -1.98 eV/atom.

***

4.
This record from Alexandria describes a relaxed structure of Er3Zr4TaN8. The functional is GGA-PBE.

The structure belongs to space group R-3m (No. 166, hexagonal axes); the cell edges are 6.5840, 6.5840 and 16.1537 Å and the angles 90.00°, 90.00° and 120.00°. The asymmetric unit holds Er at (0.0000, 0.5000, 0.0000), Zr at (0.0000, 0.0000, 0.5000), Zr at (0.0000, 0.5000, 0.5000), Ta at (0.0000, 0.0000, 0.0000), N at (0.0000, 0.0000, 0.2459) and N at (0.0133, 0.5066, 0.7498).

As for the uncorrected formation energy: -1.630 eV per atom. Its raw total energy is -9.53 eV/atom.